(a)
# HfSn3F

Crystalline HfSn3F at its relaxed geometry (PBE, Alexandria).

The structure belongs to space group Pm-3m (No. 221); the cell edges are 4.820, 4.820 and 4.820 Å and the angles 90.00°, 90.00° and 90.00°. The asymmetric unit holds Hf at (0.000, 0.000, 0.000), Sn at (0.000, 0.500, 0.500) and F at (0.500, 0.500, 0.500).



(b)
# HfSn3F

Crystalline HfSn3F at its relaxed geometry (PBE, Alexandria).

The structure belongs to space group Pm-3m (No. 221); the cell edges are 5.546, 5.546 and 5.546 Å and the angles 90.00°, 90.00° and 90.00°. The asymmetric unit holds Hf at (0.000, 0.000, 0.000), Sn at (0.000, 0.000, 0.500) and F at (0.500, 0.500, 0.500).



Sorted by energy, starting with the most stable: (a), (b).



(a)
# HfSnF2

Crystalline HfSnF2 at its relaxed geometry (PBE, Alexandria).

The structure belongs to space group Fm-3m (No. 225); the cell edges are 6.347, 6.347 and 6.347 Å and the angles 90.00°, 90.00° and 90.00°. The asymmetric unit holds Hf at (0.000, 0.000, 0.000), Sn at (0.000, 0.000, 0.500) and F at (0.250, 0.250, 0.250).



(b)
# HfSnF2

Crystalline HfSnF2 at its relaxed geometry (PBE, Alexandria).

The structure belongs to space group R-3m (No. 166, hexagonal axes); the cell edges are 3.0116, 3.0116 and 31.6556 Å and the angles 90.00°, 90.00° and 120.00°. The asymmetric unit holds Hf at (0.0000, 0.0000, 0.0000), Sn at (0.0000, 0.0000, 0.5000) and F at (0.0000, 0.0000, 0.3807).



Sorted by energy, starting with the most stable: (b), (a).



(a)
# Hf2SnF

Crystalline Hf2SnF at its relaxed geometry (PBE, Alexandria).

The structure belongs to space group Fm-3m (No. 225); the cell edges are 6.761, 6.761 and 6.761 Å and the angles 90.00°, 90.00° and 90.00°. The asymmetric unit holds Hf at (0.250, 0.250, 0.250), Sn at (0.000, 0.000, 0.000) and F at (0.000, 0.000, 0.500).



(b)
# Hf2SnF

Crystalline Hf2SnF at its relaxed geometry (PBE, Alexandria).

The structure belongs to space group I-42d (No. 122); the cell edges are 5.111, 5.111 and 14.160 Å and the angles 90.00°, 90.00° and 90.00°. The asymmetric unit holds Hf at (0.109, 0.250, 0.125), Sn at (0.000, 0.000, 0.500) and F at (0.000, 0.000, 0.000).



Sorted by energy, starting with the most stable: (a), (b).



(a)
# HfZnSnF

Crystalline HfZnSnF at its relaxed geometry (PBE, Alexandria).

The structure belongs to space group Imm2 (No. 44); the cell edges are 3.419, 4.133 and 11.340 Å and the angles 90.00°, 90.00° and 90.00°. The asymmetric unit holds Hf at (0.000, 0.000, 0.000), Zn at (0.000, 0.500, 0.310), Sn at (0.000, 0.500, 0.732) and F at (0.000, 0.500, 0.024).



(b)
# HfZnSnF

Crystalline HfZnSnF at its relaxed geometry (PBE, Alexandria).

The structure belongs to space group Amm2 (No. 38); the cell edges are 3.953, 3.098 and 12.545 Å and the angles 90.00°, 90.00° and 90.00°. The asymmetric unit holds Hf at (0.000, 0.000, 0.000), Zn at (0.000, 0.000, 0.295), Sn at (0.500, 0.000, 0.667) and F at (0.500, 0.000, 0.946).



(c)
# HfZnSnF

Crystalline HfZnSnF at its relaxed geometry (PBE, Alexandria).

The structure belongs to space group P1 (No. 1); the cell edges are 3.051, 3.291 and 8.795 Å and the angles 90.46°, 99.70° and 90.01°. The asymmetric unit holds Hf at (0.000, 0.000, 0.000), Zn at (0.401, 0.496, 0.796), Sn at (0.790, 0.990, 0.567) and F at (0.077, 0.503, 0.158).



Sorted by energy, starting with the most stable: (a), (c), (b).



(a)
# SrHfF3

Crystalline SrHfF3 at its relaxed geometry (PBE, Alexandria).

The structure belongs to space group Pm-3m (No. 221); the cell edges are 4.504, 4.504 and 4.504 Å and the angles 90.00°, 90.00° and 90.00°. The asymmetric unit holds Sr at (0.000, 0.000, 0.000), Hf at (0.500, 0.500, 0.500) and F at (0.000, 0.500, 0.500).



(b)
# SrHfF3

Crystalline SrHfF3 at its relaxed geometry (PBE, Alexandria).

The structure belongs to space group Pm-3m (No. 221); the cell edges are 4.726, 4.726 and 4.726 Å and the angles 90.00°, 90.00° and 90.00°. The asymmetric unit holds Sr at (0.000, 0.000, 0.000), Hf at (0.500, 0.500, 0.500) and F at (0.000, 0.000, 0.500).



Sorted by energy, starting with the most stable: (a), (b).



(a)
# SrHfF2

Crystalline SrHfF2 at its relaxed geometry (PBE, Alexandria).

The structure belongs to space group R-3m (No. 166, hexagonal axes); the cell edges are 3.5371, 3.5371 and 22.6303 Å and the angles 90.00°, 90.00° and 120.00°. The asymmetric unit holds Sr at (0.0000, 0.0000, 0.0000), Hf at (0.0000, 0.0000, 0.5000) and F at (0.0000, 0.0000, 0.4091).



(b)
# SrHfF2

Crystalline SrHfF2 at its relaxed geometry (PBE, Alexandria).

The structure belongs to space group I-42d (No. 122); the cell edges are 5.622, 5.622 and 10.582 Å and the angles 90.00°, 90.00° and 90.00°. The asymmetric unit holds Sr at (0.000, 0.000, 0.000), Hf at (0.000, 0.000, 0.500) and F at (0.221, 0.250, 0.625).



(c)
# SrHfF2

Crystalline SrHfF2 at its relaxed geometry (PBE, Alexandria).

The structure belongs to space group Fm-3m (No. 225); the cell edges are 6.834, 6.834 and 6.834 Å and the angles 90.00°, 90.00° and 90.00°. The asymmetric unit holds Sr at (0.000, 0.000, 0.000), Hf at (0.000, 0.000, 0.500) and F at (0.250, 0.250, 0.250).



Sorted by energy, starting with the most stable: (a), (b), (c).



(a)
# SrHf3F

Crystalline SrHf3F at its relaxed geometry (PBE, Alexandria).

The structure belongs to space group Pm-3m (No. 221); the cell edges are 5.250, 5.250 and 5.250 Å and the angles 90.00°, 90.00° and 90.00°. The asymmetric unit holds Sr at (0.000, 0.000, 0.000), Hf at (0.000, 0.000, 0.500) and F at (0.500, 0.500, 0.500).



(b)
# SrHf3F

Crystalline SrHf3F at its relaxed geometry (PBE, Alexandria).

The structure belongs to space group Pm-3m (No. 221); the cell edges are 4.800, 4.800 and 4.800 Å and the angles 90.00°, 90.00° and 90.00°. The asymmetric unit holds Sr at (0.000, 0.000, 0.000), Hf at (0.000, 0.500, 0.500) and F at (0.500, 0.500, 0.500).



Sorted by energy, starting with the most stable: (b), (a).



(a)
# Sr2HfF

Crystalline Sr2HfF at its relaxed geometry (PBE, Alexandria).

The structure belongs to space group I-42d (No. 122); the cell edges are 7.584, 7.584 and 8.617 Å and the angles 90.00°, 90.00° and 90.00°. The asymmetric unit holds Sr at (0.135, 0.250, 0.125), Hf at (0.000, 0.000, 0.500) and F at (0.000, 0.000, 0.000).



(b)
# Sr2HfF

Crystalline Sr2HfF at its relaxed geometry (PBE, Alexandria).

The structure belongs to space group Fm-3m (No. 225); the cell edges are 8.105, 8.105 and 8.105 Å and the angles 90.00°, 90.00° and 90.00°. The asymmetric unit holds Sr at (0.250, 0.250, 0.250), Hf at (0.000, 0.000, 0.000) and F at (0.000, 0.000, 0.500).



Sorted by energy, starting with the most stable: (a), (b).